First-principles (PBE) data for ZnIr2 after structural relaxation, as listed in Alexandria.

Results
Crystal system: orthorhombic
ρ in Mg/m³: 17.3
D(E_F) in states/eV per cell: 3.14
Final energy in eV per atom: -6.315
E_form in meV/atom: 17

Cell and atoms, written as extended XYZ:
```
3
Lattice="-1.390 1.937 4.013 1.390 -1.937 4.013 1.390 1.937 -4.013" Properties=species:S:1:pos:R:3 pbc="T T T"
Zn 0.000 0.000 0.000
Ir 0.000 0.000 2.660
Ir 0.000 0.000 5.366
```

First-principles (PBE) data for Zn3Ir after structural relaxation, as listed in Alexandria.

Results
Crystal system: monoclinic
ρ in Mg/m³: 11.4
D(E_F) in states/eV per cell: 1.29
Final energy in eV per atom: -3.386
E_form in meV/atom: -215

Cell and atoms, written as extended XYZ:
```
4
Lattice="4.471 -1.862 0.000 4.471 1.862 0.000 -1.542 0.000 3.390" Properties=species:S:1:pos:R:3 pbc="T T T"
Zn 0.000 0.000 0.000
Zn 1.078 0.000 2.544
Zn 6.322 0.000 0.846
Ir 3.700 0.000 1.695
```

First-principles (PBE) data for ZnIr3 after structural relaxation, as listed in Alexandria.

Results
Crystal system: monoclinic
ρ in Mg/m³: 18.5
D(E_F) in states/eV per cell: 3.03
Final energy in eV per atom: -7.021
E_form in meV/atom: -57

Cell and atoms, written as extended XYZ:
```
4
Lattice="4.506 -1.380 0.000 4.506 1.380 0.000 -0.766 0.000 4.643" Properties=species:S:1:pos:R:3 pbc="T T T"
Zn 0.000 0.000 0.000
Ir 1.634 0.000 3.463
Ir 4.123 0.000 2.321
Ir 6.613 0.000 1.179
```

First-principles (PBE) data for ZnIr2 after structural relaxation, as listed in Alexandria.

Results
Crystal system: tetragonal
ρ in Mg/m³: 17.1
D(E_F) in states/eV per cell: 7.05
Final energy in eV per atom: -6.073
E_form in meV/atom: 259

Cell and atoms, written as extended XYZ:
```
6
Lattice="-3.102 3.102 2.264 3.102 -3.102 2.264 3.102 3.102 -2.264" Properties=species:S:1:pos:R:3 pbc="T T T"
Zn 0.000 0.000 1.132
Zn 0.000 0.000 3.397
Ir 3.998 0.896 0.000
Ir 0.896 2.207 0.000
Ir 2.207 0.896 2.264
Ir -0.896 2.207 2.264
```

First-principles (PBE) data for ZnIr after structural relaxation, as listed in Alexandria.

Results
Crystal system: orthorhombic
ρ in Mg/m³: 14.9
D(E_F) in states/eV per cell: 3.59
Final energy in eV per atom: -5.147
E_form in meV/atom: -79

Cell and atoms, written as extended XYZ:
```
6
Lattice="4.579 0.000 0.000 0.000 4.078 2.304 0.000 -4.078 2.304" Properties=species:S:1:pos:R:3 pbc="T T T"
Zn 0.000 0.000 0.000
Zn 2.289 -2.691 1.643
Zn 2.289 2.691 1.643
Ir 0.000 -1.343 2.286
Ir 0.000 1.343 2.286
Ir 2.289 0.000 1.677
```

First-principles (PBE) data for ZnIr2 after structural relaxation, as listed in Alexandria.

Results
Crystal system: orthorhombic
ρ in Mg/m³: 17.2
D(E_F) in states/eV per cell: 8.32
Final energy in eV per atom: -6.273
E_form in meV/atom: 59

Cell and atoms, written as extended XYZ:
```
6
Lattice="1.404 -6.920 0.000 1.404 6.920 0.000 0.000 0.000 4.461" Properties=species:S:1:pos:R:3 pbc="T T T"
Zn 1.404 5.465 3.345
Zn 1.404 -5.465 1.115
Ir 1.404 3.803 1.115
Ir 1.404 0.825 3.345
Ir 1.404 -0.825 1.115
Ir 1.404 -3.803 3.345
```

First-principles (PBE) data for ZnIr after structural relaxation, as listed in Alexandria.

Results
Crystal system: tetragonal
ρ in Mg/m³: 14.9
D(E_F) in states/eV per cell: 3.94
Final energy in eV per atom: -5.073
E_form in meV/atom: -5

Cell and atoms, written as extended XYZ:
```
4
Lattice="-1.929 1.929 3.852 1.929 -1.929 3.852 1.929 1.929 -3.852" Properties=species:S:1:pos:R:3 pbc="T T T"
Zn 1.929 0.965 0.963
Zn 0.000 0.965 2.889
Ir 1.929 -0.965 2.889
Ir 0.000 2.894 0.963
```

First-principles (PBE) data for Zn3Ir after structural relaxation, as listed in Alexandria.

Results
Crystal system: orthorhombic
ρ in Mg/m³: 11.3
D(E_F) in states/eV per cell: 1.29
Final energy in eV per atom: -3.325
E_form in meV/atom: -154

Cell and atoms, written as extended XYZ:
```
4
Lattice="2.927 0.000 0.000 0.000 4.286 0.000 0.000 0.000 4.560" Properties=species:S:1:pos:R:3 pbc="T T T"
Zn 0.000 0.000 0.000
Zn 0.000 2.143 1.647
Zn 1.464 0.000 2.322
Ir 1.464 2.143 3.908
```